# 1
Below is RbMg6Cr after structural relaxation, with properties calculated at the PBE-GGA level. Values from VASP.

Cell and atoms, written as Quantum ESPRESSO input:
```
&SYSTEM
  ibrav = 0, nat = 8, ntyp = 3
/
ATOMIC_SPECIES
Mg 24.30 Mg.upf
Cr 52.00 Cr.upf
Rb 85.47 Rb.upf
CELL_PARAMETERS angstrom
2.980 1.539 6.705
-6.327 3.584 1.822
-1.369 -3.086 1.317
ATOMIC_POSITIONS crystal
Mg 0.834 0.166 0.000
Mg 0.416 0.166 0.000
Mg 0.418 0.582 0.000
Mg 0.624 0.876 0.500
Mg 0.124 0.376 0.500
Mg 0.834 0.584 0.000
Cr 0.626 0.374 0.500
Rb 0.125 0.875 0.500
```

Values from the calculation:
The excess energy over the best structure of this formula in the dataset comes out at 0 meV/atom. The formation energy comes out at 0.2951 eV/atom. The energy comes out at -2.225 eV per atom. As for the crystal system: orthorhombic.

***

# 2
Below is RbMg2Cr after structural relaxation, with properties calculated at the PBE-GGA level. Values from VASP.

Cell and atoms, written as Quantum ESPRESSO input:
```
&SYSTEM
  ibrav = 0, nat = 4, ntyp = 3
/
ATOMIC_SPECIES
Rb 85.47 Rb.upf
Mg 24.30 Mg.upf
Cr 52.00 Cr.upf
CELL_PARAMETERS angstrom
0.000 3.633 3.633
3.633 0.000 3.633
3.633 3.633 0.000
ATOMIC_POSITIONS crystal
Rb 0.500 0.500 0.500
Mg 0.250 0.250 0.250
Mg 0.750 0.750 0.750
Cr 0.000 0.000 0.000
```

Values from the calculation:
The excess energy over the best structure of this formula in the dataset comes out at 72 meV/atom. The formation energy comes out at 0.8356 eV/atom. The energy comes out at -2.609 eV per atom. As for the crystal system: cubic.

***

# 3
Below is RbMg3Cr after structural relaxation, with properties calculated at the PBE-GGA level. Values from VASP.

Cell and atoms, written as Quantum ESPRESSO input:
```
&SYSTEM
  ibrav = 0, nat = 5, ntyp = 3
/
ATOMIC_SPECIES
Mg 24.30 Mg.upf
Rb 85.47 Rb.upf
Cr 52.00 Cr.upf
CELL_PARAMETERS angstrom
6.611 0.000 0.000
0.000 6.611 0.000
0.000 0.000 6.611
ATOMIC_POSITIONS crystal
Mg 0.000 0.000 0.500
Mg 0.000 0.500 0.000
Mg 0.500 0.000 0.000
Rb 0.000 0.000 0.000
Cr 0.500 0.500 0.500
```

Values from the calculation:
The excess energy over the best structure of this formula in the dataset comes out at 1007 meV/atom. The formation energy comes out at 1.5150 eV/atom. The energy comes out at -1.560 eV per atom. As for the crystal system: cubic.

***

# 4
Below is RbMg3Cr after structural relaxation, with properties calculated at the PBE-GGA level. Values from VASP.

Cell and atoms, written as Quantum ESPRESSO input:
```
&SYSTEM
  ibrav = 0, nat = 5, ntyp = 3
/
ATOMIC_SPECIES
Mg 24.30 Mg.upf
Cr 52.00 Cr.upf
Rb 85.47 Rb.upf
CELL_PARAMETERS angstrom
5.511 0.000 0.000
0.000 5.511 0.000
0.000 0.000 5.511
ATOMIC_POSITIONS crystal
Mg 0.500 0.000 0.000
Mg 0.000 0.500 0.000
Mg 0.000 0.000 0.500
Cr 0.000 0.000 0.000
Rb 0.500 0.500 0.500
```

Values from the calculation:
The excess energy over the best structure of this formula in the dataset comes out at 0 meV/atom. The formation energy comes out at 0.5080 eV/atom. The energy comes out at -2.567 eV per atom. As for the crystal system: cubic.

***

# 5
Below is RbMg6Cr after structural relaxation, with properties calculated at the PBE-GGA level. Values from VASP.

Cell and atoms, written as Quantum ESPRESSO input:
```
&SYSTEM
  ibrav = 0, nat = 8, ntyp = 3
/
ATOMIC_SPECIES
Mg 24.30 Mg.upf
Cr 52.00 Cr.upf
Rb 85.47 Rb.upf
CELL_PARAMETERS angstrom
2.449 8.035 -3.018
-4.584 -3.661 6.727
4.215 -0.259 2.731
ATOMIC_POSITIONS crystal
Mg 0.175 0.326 0.000
Mg 0.867 0.133 0.500
Mg 0.674 0.825 0.000
Mg 0.284 0.201 0.500
Mg 0.799 0.716 0.500
Mg 0.585 0.415 0.000
Cr 0.398 0.602 0.500
Rb 0.218 0.782 0.000
```

Values from the calculation:
The excess energy over the best structure of this formula in the dataset comes out at 86 meV/atom. The formation energy comes out at 0.3808 eV/atom. The energy comes out at -2.139 eV per atom. As for the crystal system: orthorhombic.

***

# 6
Below is Rb3MgCr after structural relaxation, with properties calculated at the PBE-GGA level. Values from VASP.

Cell and atoms, written as Quantum ESPRESSO input:
```
&SYSTEM
  ibrav = 0, nat = 5, ntyp = 3
/
ATOMIC_SPECIES
Cr 52.00 Cr.upf
Rb 85.47 Rb.upf
Mg 24.30 Mg.upf
CELL_PARAMETERS angstrom
-5.135 4.626 1.206
-1.990 -3.678 5.633
4.347 3.781 4.004
ATOMIC_POSITIONS crystal
Cr 0.000 0.000 0.000
Rb 0.500 0.000 0.000
Rb 0.000 0.500 0.000
Rb 0.000 0.000 0.500
Mg 0.500 0.500 0.500
```

Values from the calculation:
The excess energy over the best structure of this formula in the dataset comes out at 0 meV/atom. The formation energy comes out at 0.7759 eV/atom. The energy comes out at -2.048 eV per atom. As for the crystal system: cubic.

***

# 7
Below is RbMg2ScCr after structural relaxation, with properties calculated at the PBE-GGA level. Values from VASP.

Cell and atoms, written as Quantum ESPRESSO input:
```
&SYSTEM
  ibrav = 0, nat = 5, ntyp = 4
/
ATOMIC_SPECIES
Rb 85.47 Rb.upf
Mg 24.30 Mg.upf
Cr 52.00 Cr.upf
Sc 44.96 Sc.upf
CELL_PARAMETERS angstrom
-1.550 0.617 5.651
1.836 -4.685 1.015
5.279 2.328 1.194
ATOMIC_POSITIONS crystal
Rb 0.500 0.500 0.500
Mg 0.000 0.000 0.500
Mg 0.500 0.000 0.000
Cr 0.000 0.500 0.000
Sc 0.000 0.000 0.000
```

Values from the calculation:
The formation energy comes out at 0.9234 eV/atom. The energy comes out at -3.099 eV per atom. As for the crystal system: tetragonal.

***

# 8
Below is RbMgCr2Tc after structural relaxation, with properties calculated at the PBE-GGA level. Values from VASP.

Cell and atoms, written as Quantum ESPRESSO input:
```
&SYSTEM
  ibrav = 0, nat = 5, ntyp = 4
/
ATOMIC_SPECIES
Cr 52.00 Cr.upf
Rb 85.47 Rb.upf
Tc 98.00 Tc.upf
Mg 24.30 Mg.upf
CELL_PARAMETERS angstrom
5.283 0.000 0.000
0.000 5.067 0.000
0.000 0.000 5.283
ATOMIC_POSITIONS crystal
Cr 0.000 0.000 0.500
Cr 0.500 0.000 0.000
Rb 0.500 0.500 0.500
Tc 0.000 0.500 0.000
Mg 0.000 0.000 0.000
```

Values from the calculation:
The formation energy comes out at 1.7426 eV/atom. The energy comes out at -4.692 eV per atom. As for the crystal system: tetragonal.

***

# 9
Below is RbMgCrTe3 after structural relaxation, with properties calculated at the PBE-GGA level. Values from VASP.

Cell and atoms, written as Quantum ESPRESSO input:
```
&SYSTEM
  ibrav = 0, nat = 12, ntyp = 4
/
ATOMIC_SPECIES
Te 127.60 Te.upf
Cr 52.00 Cr.upf
Rb 85.47 Rb.upf
Mg 24.30 Mg.upf
CELL_PARAMETERS angstrom
4.280 0.000 0.000
0.000 9.291 -0.374
0.000 -3.831 10.225
ATOMIC_POSITIONS crystal
Te 0.250 0.522 0.869
Te 0.750 0.239 0.559
Te 0.750 0.869 0.121
Te 0.750 0.478 0.131
Te 0.250 0.761 0.441
Te 0.250 0.131 0.879
Cr 0.250 0.673 0.138
Cr 0.750 0.327 0.862
Rb 0.250 0.233 0.252
Rb 0.750 0.767 0.748
Mg 0.250 0.086 0.619
Mg 0.750 0.914 0.381
```

Values from the calculation:
Its formation energy from raw total energies is -0.641 eV per atom. The energy comes out at -4.242 eV per atom. As for the crystal system: monoclinic.

***

# 10
Below is Rb2MgCrTe after structural relaxation, with properties calculated at the PBE-GGA level. Values from VASP.

Cell and atoms, written as Quantum ESPRESSO input:
```
&SYSTEM
  ibrav = 0, nat = 5, ntyp = 4
/
ATOMIC_SPECIES
Mg 24.30 Mg.upf
Rb 85.47 Rb.upf
Cr 52.00 Cr.upf
Te 127.60 Te.upf
CELL_PARAMETERS angstrom
-4.053 -1.449 -5.546
-3.718 -1.626 3.142
-2.645 6.499 0.235
ATOMIC_POSITIONS crystal
Mg 0.500 0.500 0.500
Rb 0.000 0.000 0.500
Rb 0.500 0.000 0.000
Cr 0.000 0.000 0.000
Te 0.000 0.500 0.000
```

Values from the calculation:
Its formation energy from raw total energies is 0.231 eV per atom. The energy comes out at -3.028 eV per atom. As for the crystal system: tetragonal.

***

# 11
Below is Rb2MgTlCr after structural relaxation, with properties calculated at the PBE-GGA level. Values from VASP.

Cell and atoms, written as Quantum ESPRESSO input:
```
&SYSTEM
  ibrav = 0, nat = 5, ntyp = 4
/
ATOMIC_SPECIES
Rb 85.47 Rb.upf
Cr 52.00 Cr.upf
Mg 24.30 Mg.upf
Tl 204.38 Tl.upf
CELL_PARAMETERS angstrom
6.743 0.000 0.000
0.000 5.499 0.000
0.000 0.000 6.743
ATOMIC_POSITIONS crystal
Rb 0.000 0.000 0.500
Rb 0.500 0.000 0.000
Cr 0.000 0.000 0.000
Mg 0.000 0.500 0.000
Tl 0.500 0.500 0.500
```

Values from the calculation:
The formation energy comes out at 0.7165 eV/atom. The energy comes out at -2.387 eV per atom. As for the crystal system: tetragonal.

***

# 12
Below is MgCr2Re after structural relaxation, with properties calculated at the PBE-GGA level. Values from VASP.

Cell and atoms, written as Quantum ESPRESSO input:
```
&SYSTEM
  ibrav = 0, nat = 4, ntyp = 3
/
ATOMIC_SPECIES
Cr 52.00 Cr.upf
Re 186.21 Re.upf
Mg 24.30 Mg.upf
CELL_PARAMETERS angstrom
-0.657 -4.130 -1.077
0.321 -3.091 2.999
-3.543 -2.052 1.373
ATOMIC_POSITIONS crystal
Cr 0.250 0.250 0.250
Cr 0.000 0.000 0.000
Re 0.750 0.750 0.750
Mg 0.500 0.500 0.500
```

Values from the calculation:
The formation energy comes out at 0.3776 eV/atom. The energy comes out at -7.945 eV per atom. As for the crystal system: cubic.